Model a:
# Ru2Pt

A crystal of Ru2Pt relaxed with PBEsol (meta-GGA SCAN, Alexandria via LeMat-Bulk).

Output
Space-group type: No. 123
Spin magnetization, μB per atom: 0.001
Volume, Å³ per cell: 51.5

```
Ru2Pt
1.0
-1.3968 0.9642 2.0031
1.0202 -3.5603 2.4251
3.6070 2.0686 1.5195
Pt Ru
1 2
Direct
0.0000 0.0000 0.0000
0.5000 0.0000 0.5000
0.5000 0.5000 0.0000
```



Model b:
# Ru2Pt

A crystal of Ru2Pt relaxed with PBEsol (meta-GGA SCAN, Alexandria via LeMat-Bulk).

Output
Space-group type: No. 12
Spin magnetization, μB per atom: 0.000
Volume, Å³ per cell: 83.1

```
Ru2Pt
1.0
2.7076 0.0000 0.0000
-1.3538 4.9553 -0.0016
0.0000 -1.5758 6.1942
Pt Ru
2 4
Direct
0.9747 0.9494 0.1987
0.0253 0.0506 0.8013
0.7014 0.4028 0.1432
0.6465 0.2930 0.5320
0.2986 0.5972 0.8568
0.3535 0.7070 0.4680
```



Model c:
# Ru2Pt

A crystal of Ru2Pt relaxed with PBEsol (meta-GGA SCAN, Alexandria via LeMat-Bulk).

Output
Space-group type: No. 63
Spin magnetization, μB per atom: 0.001
Volume, Å³ per cell: 82.8

```
Ru2Pt
1.0
-1.7203 3.0269 -1.5277
-3.3925 -1.4948 0.8584
0.9847 1.1212 5.8439
Ru Pt
4 2
Direct
0.4104 0.2500 0.8207
0.2473 0.7500 0.4946
0.7527 0.2500 0.5054
0.5896 0.7500 0.1793
0.9148 0.7500 0.8296
0.0852 0.2500 0.1704
```



The data favor model c; the next most stable structure lies 1.0 kJ/mol of atoms above it.



Model a:
# Ru2Pt

A crystal of Ru2Pt relaxed with PBEsol (meta-GGA SCAN, Alexandria via LeMat-Bulk).

Output
Space-group type: No. 62
Spin magnetization, μB per atom: 0.000
Volume, Å³ per cell: 166.0

```
Ru2Pt
1.0
3.7941 0.0000 0.0000
0.0000 5.3866 0.0000
0.0000 0.0000 8.1218
Ru Pt
8 4
Direct
0.2500 0.6236 0.7587
0.2500 0.1236 0.7413
0.2500 0.6175 0.0808
0.7500 0.8764 0.2587
0.7500 0.8825 0.5808
0.7500 0.3764 0.2413
0.7500 0.3825 0.9192
0.2500 0.1175 0.4192
0.7500 0.8752 0.9117
0.2500 0.6248 0.4117
0.2500 0.1248 0.0883
0.7500 0.3752 0.5883
```



Model b:
# Ru2Pt

A crystal of Ru2Pt relaxed with PBEsol (meta-GGA SCAN, Alexandria via LeMat-Bulk).

Output
Space-group type: No. 141
Spin magnetization, μB per atom: 0.000
Volume, Å³ per cell: 165.7

```
Ru2Pt
1.0
-2.8390 2.4810 0.5404
-1.3366 -2.1494 2.8462
8.5627 5.6281 5.7229
Pt Ru
4 8
Direct
0.9190 0.9190 0.8379
0.1690 0.6690 0.3379
0.3310 0.8310 0.6621
0.0810 0.0810 0.1621
0.4989 0.9989 0.9978
0.8323 0.3323 0.6646
0.6677 0.1677 0.3354
0.2489 0.2489 0.4978
0.7511 0.7511 0.5022
0.4177 0.4177 0.8354
0.5823 0.5823 0.1646
0.0011 0.5011 0.0022
```



The data favor model a; the next most stable structure lies 1.6 kJ/mol of atoms above it.



Model a:
# Ru2Pt

A crystal of Ru2Pt relaxed with PBEsol (meta-GGA SCAN, Alexandria via LeMat-Bulk).

Output
Space-group type: No. 71
Spin magnetization, μB per atom: 0.000
Volume, Å³ per cell: 41.5

```
Ru2Pt
1.0
-1.6846 -1.8998 -0.8966
2.5466 -1.0318 -2.5988
1.1750 -1.2006 4.3802
Pt Ru
1 2
Direct
0.0000 0.0000 0.0000
0.6747 0.6747 0.3494
0.3253 0.3253 0.6506
```



Model b:
# Ru2Pt

A crystal of Ru2Pt relaxed with PBEsol (meta-GGA SCAN, Alexandria via LeMat-Bulk).

Output
Space-group type: No. 164
Spin magnetization, μB per atom: 0.001
Volume, Å³ per cell: 41.7

```
Ru2Pt
1.0
2.6944 0.0000 0.0000
-1.3472 2.3334 0.0000
0.0000 0.0000 6.6297
Ru Pt
2 1
Direct
0.3333 0.6667 0.6540
0.6667 0.3333 0.3460
0.0000 0.0000 0.0000
```



The data favor model a; the next most stable structure lies 3.5 kJ/mol of atoms above it.



Model a:
# Ru2PtSe

A crystal of Ru2PtSe relaxed with PBEsol (meta-GGA SCAN, Alexandria via LeMat-Bulk).

Output
Space-group type: No. 65
Spin magnetization, μB per atom: 0.000
Volume, Å³ per cell: 57.6

```
Ru2PtSe
1.0
-1.6442 1.1362 2.0287
-3.0989 -3.2360 -0.6991
2.5507 -1.9864 3.1798
Ru Se Pt
2 1 1
Direct
0.0000 0.5000 0.0000
0.0000 0.0000 0.5000
0.5000 0.0000 0.0000
0.5000 0.5000 0.5000
```



Model b:
# Ru2PtSe

A crystal of Ru2PtSe relaxed with PBEsol (meta-GGA SCAN, Alexandria via LeMat-Bulk).

Output
Space-group type: No. 47
Spin magnetization, μB per atom: 0.000
Volume, Å³ per cell: 58.9

```
Ru2PtSe
1.0
2.7705 0.0000 0.0000
0.0000 4.5809 0.0000
0.0000 0.0000 4.6414
Ru Pt Se
2 1 1
Direct
0.0000 0.0000 0.0000
0.5000 0.0000 0.5000
0.0000 0.5000 0.5000
0.5000 0.5000 0.0000
```



The data favor model a; the next most stable structure lies 19.4 kJ/mol of atoms above it.



Model a:
# SrRuPt2

A crystal of SrRuPt2 relaxed with PBEsol (meta-GGA SCAN, Alexandria via LeMat-Bulk).

Output
Space-group type: No. 123
Spin magnetization, μB per atom: 0.000
Volume, Å³ per cell: 74.4

```
SrRuPt2
1.0
-1.8422 2.1950 -1.4837
-2.5306 -1.9929 0.1937
-1.7368 2.8206 6.3291
Ru Sr Pt
1 1 2
Direct
0.5000 0.5000 0.0000
0.5000 0.5000 0.5000
0.0000 0.0000 0.1910
0.0000 0.0000 0.8090
```



Model b:
# SrRuPt2

A crystal of SrRuPt2 relaxed with PBEsol (meta-GGA SCAN, Alexandria via LeMat-Bulk).

Output
Space-group type: No. 25
Spin magnetization, μB per atom: 0.186
Volume, Å³ per cell: 73.6

```
SrRuPt2
1.0
-2.5585 -1.1443 -0.2960
1.4032 -2.4069 -2.8239
1.4830 -4.4980 4.5707
Pt Sr Ru
2 1 1
Direct
0.5000 0.5000 0.2782
0.0000 0.0000 0.0386
0.5000 0.5000 0.7553
0.0000 0.0000 0.4279
```



The data favor model a; the next most stable structure lies 8.2 kJ/mol of atoms above it.



Model a:
# TaRuPt2

A crystal of TaRuPt2 relaxed with PBEsol (meta-GGA SCAN, Alexandria via LeMat-Bulk).

Output
Space-group type: No. 160
Spin magnetization, μB per atom: 0.000
Volume, Å³ per cell: 60.7

```
TaRuPt2
1.0
2.7766 0.0000 0.0000
1.3883 2.4046 0.0000
1.3883 0.8015 9.0887
Ta Ru Pt
1 1 2
Direct
0.2494 0.2494 0.2519
0.4999 0.4999 0.5004
0.9987 0.9987 0.0040
0.7521 0.7521 0.7437
```



Model b:
# TaRuPt2

A crystal of TaRuPt2 relaxed with PBEsol (meta-GGA SCAN, Alexandria via LeMat-Bulk).

Output
Space-group type: No. 123
Spin magnetization, μB per atom: 0.000
Volume, Å³ per cell: 59.4

```
TaRuPt2
1.0
-0.6822 -3.4444 -1.5640
-1.4345 -1.2350 3.3455
-3.6638 1.2324 -1.1161
Pt Ru Ta
2 1 1
Direct
0.0000 0.5000 0.0000
0.5000 0.0000 0.0000
0.5000 0.5000 0.5000
0.0000 0.0000 0.5000
```



The data favor model b; the next most stable structure lies 55.3 kJ/mol of atoms above it.